Compound: Ac2HfZnO6
Source: the Alexandria database
Functional: GGA-PBE
Structure: relaxed

Cell: 5.824 5.882 8.276 Å, 90.00 90.16 90.00°
Fractional coordinates of all 20 atoms:
1 Ac 0.492 0.462 0.251
2 Ac 0.992 0.038 0.751
3 Ac 0.008 0.962 0.249
4 Ac 0.508 0.538 0.749
5 O 0.716 0.293 0.543
6 O 0.584 0.024 0.245
7 O 0.293 0.717 0.046
8 O 0.793 0.783 0.546
9 O 0.216 0.207 0.043
10 O 0.784 0.793 0.957
11 O 0.416 0.976 0.755
12 O 0.916 0.524 0.255
13 O 0.084 0.476 0.745
14 O 0.707 0.283 0.954
15 O 0.207 0.217 0.454
16 O 0.284 0.707 0.457
17 Hf 0.500 0.000 0.000
18 Hf 0.000 0.500 0.500
19 Zn 0.500 0.000 0.500
20 Zn 0.000 0.500 0.000

Output
- V (A^3/atom) = 14.18
- uncorrected formation energy (eV per formula unit) = -30.542
- raw total energy (eV/f.u.) = -79.74